(1)
NaBeSe3: optimized geometry, GGA-PBE.

Values from the calculation:
ΔE to the lowest computed polymorph in eV per atom: 1.250
Volume in Å³/atom: 26.4
Electronic total energy in Ha/atom: -0.07288
Density in Mg/m³: 3.4
Formation energy from raw total energies in meV/atom: 1117
Space group: Pm-3m

abc: 5.089 5.089 5.089
angles: 90.00 90.00 90.00
Last column: magnetic moment on the atom in μB.
Positions (direct):
Na1 0.000 0.000 0.000  0.01
Se1 0.000 0.500 0.000  0.29
Se2 0.000 0.000 0.500  0.23
Se3 0.500 0.000 0.000  0.18
Be1 0.500 0.500 0.500  0.00



(2)
CaTe2Mo: optimized geometry, GGA-PBE.

Values from the calculation:
ΔE to the lowest computed polymorph in eV per atom: 0.627
Volume in Å³/atom: 40.5
Electronic total energy in Ha/atom: -0.16847
Density in Mg/m³: 4.0
Formation energy from raw total energies in meV/atom: 195
Space group: R-3m

abc: 9.264 9.264 9.264
angles: 28.70 28.70 28.70
Last column: magnetic moment on the atom in μB.
Positions (direct):
Mo1 0.000 0.000 0.000  3.32
Te1 0.900 0.900 0.900  -0.09
Te2 0.100 0.100 0.100  -0.09
Ca1 0.500 0.500 0.500  0.00



Question: Among the records above, which one has the lowest volume?
Answer: NaBeSe3



Question: The lowest density belongs to which entry?
Answer: NaBeSe3



Question: Among the records above, which one has the highest ΔE to the lowest computed polymorph?
Answer: NaBeSe3



Question: The highest formation energy from raw total energies belongs to which entry?
Answer: NaBeSe3